[1]
Here is a relaxed Mo8Os7 crystal from the Alexandria database. Energies are from GGA-PBEsol.

Geometry as POSCAR:
```
Mo8Os7
1.0
-4.343 -1.465 -1.713
4.320 -6.724 -5.205
-0.795 -6.132 7.262
Os Mo
14 16
Direct
0.000 0.597 0.403
0.500 0.903 0.903
0.500 0.500 0.500
0.500 0.570 0.235
0.500 0.235 0.570
0.000 0.265 0.070
0.000 0.000 0.000
0.000 0.735 0.930
0.500 0.430 0.765
0.000 0.070 0.265
0.000 0.930 0.735
0.500 0.097 0.097
0.000 0.403 0.597
0.500 0.765 0.430
0.000 0.133 0.539
0.251 0.178 0.822
0.500 0.633 0.961
0.249 0.678 0.678
0.500 0.367 0.039
0.249 0.322 0.322
0.500 0.961 0.633
0.000 0.461 0.867
0.751 0.322 0.322
0.749 0.178 0.822
0.751 0.678 0.678
0.749 0.822 0.178
0.500 0.039 0.367
0.000 0.539 0.133
0.000 0.867 0.461
0.251 0.822 0.178
```

Calculated values
* N(E_F): 10.681 states/eV/f.u.
* energy of formation: 53 meV per atom
* space group: P4_2/mnm

---

[2]
Here is a relaxed Mo2Os crystal from the Alexandria database. Energies are from GGA-PBEsol.

Geometry as POSCAR:
```
Mo2Os
1.0
3.604 0.000 0.000
1.802 3.852 0.023
1.802 1.018 3.715
Mo Os
2 1
Direct
0.790 0.710 0.710
0.210 0.290 0.290
0.000 0.000 0.000
```

Calculated values
* N(E_F): 2.486 states/eV/f.u.
* energy of formation: 656 meV per atom
* space group: Immm

---

[3]
Here is a relaxed MoPOs crystal from the Alexandria database. Energies are from GGA-PBEsol.

Geometry as POSCAR:
```
MoPOs
1.0
-2.623 1.121 0.401
-0.799 -0.938 -2.604
0.237 -4.237 3.047
Os Mo P
1 1 1
Direct
0.682 0.682 0.363
0.987 0.987 0.973
0.332 0.332 0.663
```

Calculated values
* N(E_F): 1.897 states/eV/f.u.
* energy of formation: -248 meV per atom
* space group: I4mm

---

[4]
Here is a relaxed MoP4Os crystal from the Alexandria database. Energies are from GGA-PBEsol.

Geometry as POSCAR:
```
MoP4Os
1.0
-0.283 4.702 1.058
-3.700 1.668 2.616
0.730 1.503 4.530
P Mo Os
4 1 1
Direct
0.874 0.375 0.375
0.375 0.375 0.375
0.375 0.874 0.375
0.375 0.375 0.874
0.750 0.750 0.750
0.000 0.000 0.000
```

Calculated values
* N(E_F): 4.062 states/eV/f.u.
* energy of formation: 811 meV per atom
* space group: F-43m

---

[5]
Here is a relaxed Mo2POs crystal from the Alexandria database. Energies are from GGA-PBEsol.

Geometry as POSCAR:
```
Mo2POs
1.0
2.887 0.000 0.000
0.000 4.345 -0.010
-1.443 -2.164 4.439
P Mo Os
1 2 1
Direct
0.244 0.743 0.487
0.761 0.261 0.523
0.964 0.965 0.929
0.530 0.531 0.061
```

Calculated values
* N(E_F): 2.238 states/eV/f.u.
* energy of formation: -224 meV per atom
* space group: Imm2

---

[6]
Here is a relaxed MoPOs crystal from the Alexandria database. Energies are from GGA-PBEsol.

Geometry as POSCAR:
```
MoPOs
1.0
2.839 0.000 0.000
0.000 3.964 0.000
-1.419 -1.982 3.702
P Mo Os
1 1 1
Direct
0.335 0.335 0.670
0.006 0.006 0.011
0.659 0.659 0.319
```

Calculated values
* N(E_F): 1.620 states/eV/f.u.
* energy of formation: 43 meV per atom
* space group: Imm2

---

[7]
Here is a relaxed Mo2POs crystal from the Alexandria database. Energies are from GGA-PBEsol.

Geometry as POSCAR:
```
Mo2POs
1.0
2.865 0.000 0.000
0.000 3.812 0.000
-1.433 0.000 5.180
Mo P Os
2 1 1
Direct
0.307 0.500 0.614
0.959 0.000 0.918
0.549 0.500 0.098
0.689 0.000 0.377
```

Calculated values
* N(E_F): 3.227 states/eV/f.u.
* energy of formation: -133 meV per atom
* space group: Amm2

---

[8]
Here is a relaxed MoPOs2 crystal from the Alexandria database. Energies are from GGA-PBEsol.

Geometry as POSCAR:
```
MoPOs2
1.0
2.789 0.000 0.000
0.000 3.891 0.000
0.000 0.000 5.219
P Os Mo
1 2 1
Direct
0.000 0.000 0.526
0.500 0.500 0.227
0.000 0.000 0.045
0.500 0.500 0.702
```

Calculated values
* N(E_F): 2.667 states/eV/f.u.
* energy of formation: 173 meV per atom
* space group: Pmm2

---

no.,calculated total energy (eV/cell)
1,-357.724
2,-33.783
3,-30.519
4,-42.283
5,-42.440
6,-29.645
7,-42.075
8,-41.299